A relaxed Na2Sb3Pd4Pb crystal. Source: the Alexandria database, functional GGA-PBE.

The density of states at the Fermi level comes out at 0.4450 states/eV per atom. The calculation puts the formation energy from raw total energies at -367 kJ/mol of formula units.

Structure (CIF):
```
data_Na2Sb3Pd4Pb
_cell_length_a 4.672
_cell_length_b 4.672
_cell_length_c 10.876
_cell_angle_alpha 90.00
_cell_angle_beta 90.00
_cell_angle_gamma 90.00
_space_group_name_H-M_alt 'P 1'
_space_group_IT_number 1
loop_
_space_group_symop_operation_xyz
'x,y,z'
loop_
_atom_site_label
_atom_site_type_symbol
_atom_site_fract_x
_atom_site_fract_y
_atom_site_fract_z
Na1 Na 0.500 0.000 0.231
Na2 Na 0.000 0.500 0.769
Sb1 Sb 0.000 0.000 0.500
Sb2 Sb 0.500 0.000 0.878
Sb3 Sb 0.000 0.500 0.122
Pd1 Pd 0.500 0.500 0.000
Pd2 Pd 0.000 0.000 0.000
Pd3 Pd 0.500 0.000 0.639
Pd4 Pd 0.000 0.500 0.361
Pb1 Pb 0.500 0.500 0.500
```

***

A relaxed KRb2Na5Pb2 crystal. Source: the Alexandria database, functional GGA-PBE.

The density of states at the Fermi level comes out at 0.4343 states/eV per atom. The value obtained for the formation energy is -0.07 eV/atom.

Structure (CIF):
```
data_KRb2Na5Pb2
_cell_length_a 5.439
_cell_length_b 12.701
_cell_length_c 12.701
_cell_angle_alpha 90.00
_cell_angle_beta 90.00
_cell_angle_gamma 90.00
_space_group_name_H-M_alt 'P 1'
_space_group_IT_number 1
loop_
_space_group_symop_operation_xyz
'x,y,z'
loop_
_atom_site_label
_atom_site_type_symbol
_atom_site_fract_x
_atom_site_fract_y
_atom_site_fract_z
K1 K 0.000 0.000 0.000
K2 K 0.000 0.500 0.500
Rb1 Rb 0.000 0.692 0.192
Rb2 Rb 0.000 0.308 0.808
Rb3 Rb 0.000 0.192 0.308
Rb4 Rb 0.000 0.808 0.692
Na1 Na 0.500 0.239 0.057
Na2 Na 0.500 0.761 0.943
Na3 Na 0.500 0.057 0.761
Na4 Na 0.500 0.739 0.443
Na5 Na 0.500 0.943 0.239
Na6 Na 0.500 0.261 0.557
Na7 Na 0.500 0.557 0.739
Na8 Na 0.500 0.443 0.261
Na9 Na 0.500 0.500 0.000
Na10 Na 0.500 0.000 0.500
Pb1 Pb 0.000 0.097 0.597
Pb2 Pb 0.000 0.903 0.403
Pb3 Pb 0.000 0.597 0.903
Pb4 Pb 0.000 0.403 0.097
```

***

A relaxed Ba3AgAu crystal. Source: the Alexandria database, functional GGA-PBE.

The density of states at the Fermi level comes out at 0.8764 states/eV per atom. The value obtained for the formation energy is -0.38 eV/atom. As for the energy above the most stable polymorph in this dataset: 0.11 eV per formula unit.

Structure (CIF):
```
data_Ba3AgAu
_cell_length_a 6.746
_cell_length_b 8.070
_cell_length_c 10.456
_cell_angle_alpha 113.49
_cell_angle_beta 100.87
_cell_angle_gamma 113.72
_space_group_name_H-M_alt 'P 1'
_space_group_IT_number 1
loop_
_space_group_symop_operation_xyz
'x,y,z'
loop_
_atom_site_label
_atom_site_type_symbol
_atom_site_fract_x
_atom_site_fract_y
_atom_site_fract_z
Ba1 Ba 0.419 0.788 0.134
Ba2 Ba 0.040 0.301 0.610
Ba3 Ba 0.786 0.735 0.768
Ba4 Ba 0.214 0.265 0.232
Ba5 Ba 0.581 0.212 0.866
Ba6 Ba 0.960 0.699 0.390
Ag1 Ag 0.462 0.171 0.502
Ag2 Ag 0.538 0.829 0.498
Au1 Au 0.888 0.749 0.094
Au2 Au 0.112 0.251 0.906
```

***

A relaxed YCrP2S crystal. Source: the Alexandria database, functional GGA-PBE.

The density of states at the Fermi level comes out at 0.6010 states/eV per atom. The calculation puts the formation energy from raw total energies at -203 kJ/mol of formula units. As for the energy above the most stable polymorph in this dataset: 0.00 eV per formula unit.

Structure (CIF):
```
data_YCrP2S
_cell_length_a 4.296
_cell_length_b 4.296
_cell_length_c 5.121
_cell_angle_alpha 90.00
_cell_angle_beta 90.00
_cell_angle_gamma 90.00
_space_group_name_H-M_alt 'P 1'
_space_group_IT_number 1
loop_
_space_group_symop_operation_xyz
'x,y,z'
loop_
_atom_site_label
_atom_site_type_symbol
_atom_site_fract_x
_atom_site_fract_y
_atom_site_fract_z
Y1 Y 0.500 0.500 0.500
Cr1 Cr 0.000 0.000 0.000
S1 S 0.000 0.000 0.500
P1 P 0.000 0.500 0.000
P2 P 0.500 0.000 0.000
```

***

A relaxed LaCd2TePd crystal. Source: the Alexandria database, functional GGA-PBE.

The density of states at the Fermi level comes out at 0.5334 states/eV per atom. The calculation puts the formation energy from raw total energies at -265 kJ/mol of formula units.

Structure (CIF):
```
data_LaCd2TePd
_cell_length_a 5.168
_cell_length_b 5.535
_cell_length_c 5.168
_cell_angle_alpha 90.00
_cell_angle_beta 90.00
_cell_angle_gamma 90.00
_space_group_name_H-M_alt 'P 1'
_space_group_IT_number 1
loop_
_space_group_symop_operation_xyz
'x,y,z'
loop_
_atom_site_label
_atom_site_type_symbol
_atom_site_fract_x
_atom_site_fract_y
_atom_site_fract_z
Cd1 Cd 0.000 0.000 0.500
Cd2 Cd 0.500 0.000 0.000
Te1 Te 0.500 0.500 0.500
Pd1 Pd 0.000 0.000 0.000
La1 La 0.000 0.500 0.000
```

***

A relaxed HfSIN2 crystal. Source: the Alexandria database, functional GGA-PBE.

The density of states at the Fermi level comes out at 0.3708 states/eV per atom. The calculation puts the formation energy from raw total energies at 709 kJ/mol of formula units. As for the energy above the most stable polymorph in this dataset: 5.04 eV per formula unit.

Structure (CIF):
```
data_HfSIN2
_cell_length_a 4.040
_cell_length_b 4.040
_cell_length_c 5.024
_cell_angle_alpha 90.00
_cell_angle_beta 90.00
_cell_angle_gamma 90.00
_space_group_name_H-M_alt 'P 1'
_space_group_IT_number 1
loop_
_space_group_symop_operation_xyz
'x,y,z'
loop_
_atom_site_label
_atom_site_type_symbol
_atom_site_fract_x
_atom_site_fract_y
_atom_site_fract_z
I1 I 0.000 0.000 0.000
S1 S 0.000 0.000 0.500
Hf1 Hf 0.500 0.500 0.500
N1 N 0.000 0.500 0.000
N2 N 0.500 0.000 0.000
```

***

A relaxed Y2TePt crystal. Source: the Alexandria database, functional GGA-PBE.

The density of states at the Fermi level comes out at 1.2799 states/eV per atom. The calculation puts the formation energy from raw total energies at -134 kJ/mol of formula units.

Structure (CIF):
```
data_Y2TePt
_cell_length_a 5.139
_cell_length_b 5.139
_cell_length_c 5.139
_cell_angle_alpha 60.00
_cell_angle_beta 60.00
_cell_angle_gamma 60.00
_space_group_name_H-M_alt 'P 1'
_space_group_IT_number 1
loop_
_space_group_symop_operation_xyz
'x,y,z'
loop_
_atom_site_label
_atom_site_type_symbol
_atom_site_fract_x
_atom_site_fract_y
_atom_site_fract_z
Pt1 Pt 0.500 0.500 0.500
Te1 Te 0.750 0.750 0.750
Y1 Y 0.000 0.000 0.000
Y2 Y 0.250 0.250 0.250
```

***

A relaxed CoSiNi2 crystal. Source: the Alexandria database, functional GGA-PBE.

The density of states at the Fermi level comes out at 1.0589 states/eV per atom. The calculation puts the formation energy from raw total energies at -49 kJ/mol of formula units.

Structure (CIF):
```
data_CoSiNi2
_cell_length_a 7.928
_cell_length_b 7.928
_cell_length_c 7.928
_cell_angle_alpha 18.70
_cell_angle_beta 18.70
_cell_angle_gamma 18.70
_space_group_name_H-M_alt 'P 1'
_space_group_IT_number 1
loop_
_space_group_symop_operation_xyz
'x,y,z'
loop_
_atom_site_label
_atom_site_type_symbol
_atom_site_fract_x
_atom_site_fract_y
_atom_site_fract_z
Co1 Co 0.750 0.750 0.750
Ni1 Ni 0.996 0.996 0.996
Ni2 Ni 0.504 0.504 0.504
Si1 Si 0.250 0.250 0.250
```